[1]
Tl2InGa2 after structural relaxation. Source: the Alexandria database, functional PBE-GGA.

Computed properties:
crystal system	tetragonal
DOS(E_F)	0.5109	states/eV/atom
total moment	0.0	μB/f.u.
excess energy over the best structure of this formula in the dataset	0.000	eV per atom

a = 7.374 Å, b = 7.374 Å, c = 4.815 Å
α = 90.00°, β = 90.00°, γ = 90.00°
Fractional coordinates of all 10 atoms:
Tl  0.174  0.326  0.000
Tl  0.326  0.826  0.000
Tl  0.674  0.174  0.000
Tl  0.826  0.674  0.000
In  0.000  0.000  0.500
In  0.500  0.500  0.500
Ga  0.129  0.629  0.500
Ga  0.371  0.129  0.500
Ga  0.629  0.871  0.500
Ga  0.871  0.371  0.500

[2]
Tl2InGa2 after structural relaxation. Source: the Alexandria database, functional PBE-GGA.

Computed properties:
crystal system	tetragonal
DOS(E_F)	0.4311	states/eV/atom
total moment	0.0	μB/f.u.
excess energy over the best structure of this formula in the dataset	0.020	eV per atom

a = 9.696 Å, b = 9.696 Å, c = 9.696 Å
α = 157.47°, β = 157.47°, γ = 32.08°
Fractional coordinates of all 5 atoms:
Tl  0.108  0.108  0.000
Tl  0.892  0.892  0.000
In  0.500  0.500  0.000
Ga  0.250  0.750  0.500
Ga  0.750  0.250  0.500

[3]
TlIn2Ga6 after structural relaxation. Source: the Alexandria database, functional PBE-GGA.

Computed properties:
crystal system	orthorhombic
DOS(E_F)	0.3204	states/eV/atom
total moment	0.0	μB/f.u.

a = 7.946 Å, b = 7.946 Å, c = 7.946 Å
α = 149.15°, β = 124.15°, γ = 65.18°
Fractional coordinates of all 9 atoms:
Tl  0.000  0.000  0.000
In  0.377  0.877  0.500
In  0.623  0.123  0.500
Ga  0.000  0.311  0.689
Ga  0.000  0.689  0.311
Ga  0.306  0.500  0.806
Ga  0.378  0.689  0.689
Ga  0.622  0.311  0.311
Ga  0.694  0.500  0.194

[4]
Tl2In12Ga5 after structural relaxation. Source: the Alexandria database, functional PBE-GGA.

Computed properties:
crystal system	monoclinic
DOS(E_F)	0.3595	states/eV/atom
total moment	0.0	μB/f.u.

a = 9.499 Å, b = 9.499 Å, c = 9.574 Å
α = 108.16°, β = 108.16°, γ = 40.00°
Fractional coordinates of all 19 atoms:
Tl  0.244  0.756  0.000
Tl  0.756  0.244  0.000
In  0.004  0.004  0.345
In  0.062  0.549  0.895
In  0.093  0.566  0.434
In  0.406  0.406  0.195
In  0.434  0.907  0.566
In  0.451  0.938  0.105
In  0.549  0.062  0.895
In  0.566  0.093  0.434
In  0.594  0.594  0.805
In  0.907  0.434  0.566
In  0.938  0.451  0.105
In  0.996  0.996  0.655
Ga  0.157  0.157  0.828
Ga  0.160  0.160  0.317
Ga  0.500  0.500  0.500
Ga  0.840  0.840  0.683
Ga  0.843  0.843  0.172

[5]
Tl3In4Ga after structural relaxation. Source: the Alexandria database, functional PBE-GGA.

Computed properties:
crystal system	tetragonal
DOS(E_F)	0.4127	states/eV/atom
total moment	0.0	μB/f.u.

a = 3.478 Å, b = 3.478 Å, c = 18.191 Å
α = 90.00°, β = 90.00°, γ = 90.00°
Fractional coordinates of all 8 atoms:
Tl  0.000  0.000  0.000
Tl  0.000  0.000  0.265
Tl  0.000  0.000  0.735
In  0.500  0.500  0.132
In  0.500  0.500  0.398
In  0.500  0.500  0.602
In  0.500  0.500  0.868
Ga  0.000  0.000  0.500

[6]
Tl12In6Ga after structural relaxation. Source: the Alexandria database, functional PBE-GGA.

Computed properties:
crystal system	trigonal
DOS(E_F)	0.4804	states/eV/atom
total moment	0.0	μB/f.u.

a = 8.856 Å, b = 8.856 Å, c = 8.856 Å
α = 107.08°, β = 107.08°, γ = 107.08°
Fractional coordinates of all 19 atoms:
Tl  0.031  0.692  0.135
Tl  0.135  0.031  0.692
Tl  0.200  0.445  0.668
Tl  0.308  0.865  0.969
Tl  0.332  0.800  0.555
Tl  0.445  0.668  0.200
Tl  0.555  0.332  0.800
Tl  0.668  0.200  0.445
Tl  0.692  0.135  0.031
Tl  0.800  0.555  0.332
Tl  0.865  0.969  0.308
Tl  0.969  0.308  0.865
In  0.108  0.373  0.268
In  0.268  0.108  0.373
In  0.373  0.268  0.108
In  0.627  0.732  0.892
In  0.732  0.892  0.627
In  0.892  0.627  0.732
Ga  0.500  0.500  0.500

[7]
TlInGa4 after structural relaxation. Source: the Alexandria database, functional PBE-GGA.

Computed properties:
crystal system	hexagonal
DOS(E_F)	0.3251	states/eV/atom
total moment	0.0	μB/f.u.

a = 4.381 Å, b = 4.381 Å, c = 8.675 Å
α = 90.00°, β = 90.00°, γ = 120.00°
Fractional coordinates of all 6 atoms:
Tl  0.000  0.000  0.000
In  0.000  0.000  0.500
Ga  0.333  0.667  0.267
Ga  0.333  0.667  0.733
Ga  0.667  0.333  0.267
Ga  0.667  0.333  0.733

[8]
Tl16In7Ga6 after structural relaxation. Source: the Alexandria database, functional PBE-GGA.

Computed properties:
crystal system	cubic
DOS(E_F)	0.5166	states/eV/atom
total moment	0.0	μB/f.u.

a = 10.740 Å, b = 10.740 Å, c = 10.740 Å
α = 60.00°, β = 60.00°, γ = 60.00°
Fractional coordinates of all 29 atoms:
Tl  0.064  0.645  0.645
Tl  0.122  0.122  0.122
Tl  0.122  0.122  0.634
Tl  0.122  0.634  0.122
Tl  0.355  0.355  0.355
Tl  0.355  0.355  0.936
Tl  0.355  0.936  0.355
Tl  0.366  0.878  0.878
Tl  0.634  0.122  0.122
Tl  0.645  0.064  0.645
Tl  0.645  0.645  0.064
Tl  0.645  0.645  0.645
Tl  0.878  0.366  0.878
Tl  0.878  0.878  0.366
Tl  0.878  0.878  0.878
Tl  0.936  0.355  0.355
In  0.000  0.000  0.000
In  0.000  0.000  0.500
In  0.000  0.500  0.000
In  0.000  0.500  0.500
In  0.500  0.000  0.000
In  0.500  0.000  0.500
In  0.500  0.500  0.000
Ga  0.363  0.363  0.637
Ga  0.363  0.637  0.363
Ga  0.363  0.637  0.637
Ga  0.637  0.363  0.363
Ga  0.637  0.363  0.637
Ga  0.637  0.637  0.363

[9]
TlIn12Ga6 after structural relaxation. Source: the Alexandria database, functional PBE-GGA.

Computed properties:
crystal system	trigonal
DOS(E_F)	0.4121	states/eV/atom
total moment	0.0	μB/f.u.
excess energy over the best structure of this formula in the dataset	0.000	eV per atom

a = 9.617 Å, b = 9.617 Å, c = 9.617 Å
α = 115.31°, β = 115.31°, γ = 115.31°
Fractional coordinates of all 19 atoms:
Tl  0.000  0.000  0.000
In  0.188  0.811  0.236
In  0.189  0.764  0.812
In  0.236  0.188  0.811
In  0.241  0.518  0.292
In  0.292  0.241  0.518
In  0.482  0.708  0.759
In  0.518  0.292  0.241
In  0.708  0.759  0.482
In  0.759  0.482  0.708
In  0.764  0.812  0.189
In  0.811  0.236  0.188
In  0.812  0.189  0.764
Ga  0.068  0.337  0.618
Ga  0.337  0.618  0.068
Ga  0.382  0.932  0.663
Ga  0.618  0.068  0.337
Ga  0.663  0.382  0.932
Ga  0.932  0.663  0.382

[10]
TlIn3Ga3 after structural relaxation. Source: the Alexandria database, functional PBE-GGA.

Computed properties:
crystal system	cubic
DOS(E_F)	0.6150	states/eV/atom
total moment	0.0	μB/f.u.
excess energy over the best structure of this formula in the dataset	0.214	eV per atom

a = 7.698 Å, b = 7.698 Å, c = 7.698 Å
α = 90.00°, β = 90.00°, γ = 90.00°
Fractional coordinates of all 14 atoms:
Tl  0.000  0.000  0.000
Tl  0.500  0.500  0.500
In  0.000  0.250  0.500
In  0.000  0.750  0.500
In  0.250  0.500  0.000
In  0.500  0.000  0.250
In  0.500  0.000  0.750
In  0.750  0.500  0.000
Ga  0.000  0.500  0.250
Ga  0.000  0.500  0.750
Ga  0.250  0.000  0.500
Ga  0.500  0.250  0.000
Ga  0.500  0.750  0.000
Ga  0.750  0.000  0.500

[11]
Tl2In5Ga2 after structural relaxation. Source: the Alexandria database, functional PBE-GGA.

Computed properties:
crystal system	monoclinic
DOS(E_F)	0.3848	states/eV/atom
total moment	0.0	μB/f.u.

a = 8.511 Å, b = 8.511 Å, c = 5.675 Å
α = 105.87°, β = 105.87°, γ = 37.52°
Fractional coordinates of all 9 atoms:
Tl  0.176  0.176  0.346
Tl  0.824  0.824  0.654
In  0.056  0.056  0.783
In  0.392  0.392  0.441
In  0.500  0.500  0.000
In  0.608  0.608  0.559
In  0.944  0.944  0.217
Ga  0.275  0.275  0.921
Ga  0.725  0.725  0.079

[12]
Tl3In4Ga2 after structural relaxation. Source: the Alexandria database, functional PBE-GGA.

Computed properties:
crystal system	monoclinic
DOS(E_F)	0.4424	states/eV/atom
total moment	0.0	μB/f.u.

a = 6.497 Å, b = 6.497 Å, c = 9.506 Å
α = 122.18°, β = 122.18°, γ = 48.47°
Fractional coordinates of all 9 atoms:
Tl  0.000  0.000  0.000
Tl  0.336  0.336  0.331
Tl  0.664  0.664  0.669
In  0.071  0.071  0.398
In  0.302  0.302  0.954
In  0.698  0.698  0.046
In  0.929  0.929  0.602
Ga  0.386  0.386  0.714
Ga  0.614  0.614  0.286

[13]
Tl4In15Ga after structural relaxation. Source: the Alexandria database, functional PBE-GGA.

Computed properties:
crystal system	tetragonal
DOS(E_F)	0.7621	states/eV/atom
total moment	0.0	μB/f.u.

a = 4.899 Å, b = 4.899 Å, c = 22.964 Å
α = 90.00°, β = 90.00°, γ = 90.00°
Fractional coordinates of all 20 atoms:
Tl  0.000  0.000  0.102
Tl  0.000  0.000  0.308
Tl  0.000  0.000  0.692
Tl  0.000  0.000  0.898
In  0.000  0.500  0.000
In  0.000  0.500  0.205
In  0.000  0.500  0.410
In  0.000  0.500  0.590
In  0.000  0.500  0.795
In  0.500  0.000  0.000
In  0.500  0.000  0.205
In  0.500  0.000  0.410
In  0.500  0.000  0.590
In  0.500  0.000  0.795
In  0.500  0.500  0.102
In  0.500  0.500  0.308
In  0.500  0.500  0.500
In  0.500  0.500  0.692
In  0.500  0.500  0.898
Ga  0.000  0.000  0.500

[14]
TlInGa3 after structural relaxation. Source: the Alexandria database, functional PBE-GGA.

Computed properties:
crystal system	orthorhombic
DOS(E_F)	0.3986	states/eV/atom
total moment	0.0	μB/f.u.
excess energy over the best structure of this formula in the dataset	0.004	eV per atom

a = 9.032 Å, b = 9.032 Å, c = 5.159 Å
α = 90.00°, β = 90.00°, γ = 144.30°
Fractional coordinates of all 10 atoms:
Tl  0.206  0.794  0.750
Tl  0.794  0.206  0.250
In  0.433  0.567  0.250
In  0.567  0.433  0.750
Ga  0.000  0.000  0.000
Ga  0.000  0.000  0.500
Ga  0.123  0.381  0.750
Ga  0.381  0.123  0.250
Ga  0.619  0.877  0.750
Ga  0.877  0.619  0.250

[15]
TlIn2Ga9 after structural relaxation. Source: the Alexandria database, functional PBE-GGA.

Computed properties:
crystal system	trigonal
DOS(E_F)	0.4093	states/eV/atom
total moment	0.0	μB/f.u.

a = 8.932 Å, b = 8.932 Å, c = 8.932 Å
α = 39.78°, β = 39.78°, γ = 39.78°
Fractional coordinates of all 12 atoms:
Tl  0.000  0.000  0.000
In  0.136  0.136  0.136
In  0.864  0.864  0.864
Ga  0.068  0.596  0.596
Ga  0.338  0.338  0.338
Ga  0.404  0.404  0.932
Ga  0.404  0.932  0.404
Ga  0.500  0.500  0.500
Ga  0.596  0.068  0.596
Ga  0.596  0.596  0.068
Ga  0.662  0.662  0.662
Ga  0.932  0.404  0.404

[16]
Tl2In9Ga3 after structural relaxation. Source: the Alexandria database, functional PBE-GGA.

Computed properties:
crystal system	monoclinic
DOS(E_F)	0.4491	states/eV/atom
total moment	0.0	μB/f.u.

a = 8.882 Å, b = 8.882 Å, c = 12.381 Å
α = 112.91°, β = 112.91°, γ = 58.36°
Fractional coordinates of all 28 atoms:
Tl  0.115  0.244  0.252
Tl  0.244  0.115  0.752
Tl  0.756  0.885  0.248
Tl  0.885  0.756  0.748
In  0.004  0.887  0.088
In  0.113  0.996  0.412
In  0.185  0.369  0.579
In  0.224  0.574  0.250
In  0.286  0.501  0.930
In  0.325  0.675  0.750
In  0.369  0.185  0.079
In  0.426  0.776  0.250
In  0.499  0.714  0.570
In  0.501  0.286  0.430
In  0.574  0.224  0.750
In  0.631  0.815  0.921
In  0.675  0.325  0.250
In  0.714  0.499  0.070
In  0.776  0.426  0.750
In  0.815  0.631  0.421
In  0.887  0.004  0.588
In  0.996  0.113  0.912
Ga  0.000  0.500  0.000
Ga  0.164  0.649  0.482
Ga  0.351  0.836  0.018
Ga  0.500  0.000  0.500
Ga  0.649  0.164  0.982
Ga  0.836  0.351  0.518

[17]
Tl3InGa3 after structural relaxation. Source: the Alexandria database, functional PBE-GGA.

Computed properties:
crystal system	cubic
DOS(E_F)	0.5128	states/eV/atom
total moment	0.0	μB/f.u.

a = 7.856 Å, b = 7.856 Å, c = 7.856 Å
α = 90.00°, β = 90.00°, γ = 90.00°
Fractional coordinates of all 14 atoms:
Tl  0.000  0.250  0.500
Tl  0.000  0.750  0.500
Tl  0.250  0.500  0.000
Tl  0.500  0.000  0.250
Tl  0.500  0.000  0.750
Tl  0.750  0.500  0.000
In  0.000  0.000  0.000
In  0.500  0.500  0.500
Ga  0.000  0.500  0.250
Ga  0.000  0.500  0.750
Ga  0.250  0.000  0.500
Ga  0.500  0.250  0.000
Ga  0.500  0.750  0.000
Ga  0.750  0.000  0.500

[18]
TlIn3Ga after structural relaxation. Source: the Alexandria database, functional PBE-GGA.

Computed properties:
crystal system	monoclinic
DOS(E_F)	0.3952	states/eV/atom
total moment	0.0	μB/f.u.
excess energy over the best structure of this formula in the dataset	0.000	eV per atom

a = 8.323 Å, b = 3.657 Å, c = 9.131 Å
α = 90.00°, β = 106.25°, γ = 90.00°
Fractional coordinates of all 10 atoms:
Tl  0.141  0.250  0.150
Tl  0.859  0.750  0.850
In  0.081  0.250  0.657
In  0.317  0.750  0.489
In  0.320  0.750  0.919
In  0.680  0.250  0.081
In  0.683  0.250  0.511
In  0.919  0.750  0.343
Ga  0.498  0.750  0.253
Ga  0.502  0.250  0.747

[19]
Tl3InGa after structural relaxation. Source: the Alexandria database, functional PBE-GGA.

Computed properties:
crystal system	tetragonal
DOS(E_F)	0.3079	states/eV/atom
total moment	0.0	μB/f.u.
excess energy over the best structure of this formula in the dataset	0.000	eV per atom

a = 11.267 Å, b = 11.267 Å, c = 4.498 Å
α = 90.00°, β = 90.00°, γ = 90.00°
Fractional coordinates of all 20 atoms:
Tl  0.009  0.338  0.000
Tl  0.136  0.136  0.500
Tl  0.162  0.509  0.500
Tl  0.338  0.009  0.000
Tl  0.364  0.636  0.000
Tl  0.491  0.838  0.500
Tl  0.509  0.162  0.500
Tl  0.636  0.364  0.000
Tl  0.662  0.991  0.000
Tl  0.838  0.491  0.500
Tl  0.864  0.864  0.500
Tl  0.991  0.662  0.000
In  0.192  0.808  0.500
In  0.308  0.308  0.000
In  0.692  0.692  0.000
In  0.808  0.192  0.500
Ga  0.080  0.920  0.000
Ga  0.420  0.420  0.500
Ga  0.580  0.580  0.500
Ga  0.920  0.080  0.000

Number 1: formation enthalpy at 0 K 0.06 eV per atom. Number 2: formation enthalpy at 0 K 0.08 eV per atom. Number 3: formation enthalpy at 0 K 0.07 eV per atom. Number 4: formation enthalpy at 0 K 0.09 eV per atom. Number 5: formation enthalpy at 0 K 0.04 eV per atom. Number 6: formation enthalpy at 0 K 0.05 eV per atom. Number 7: formation enthalpy at 0 K 0.06 eV per atom. Number 8: formation enthalpy at 0 K 0.12 eV per atom. Number 9: formation enthalpy at 0 K 0.04 eV per atom. Number 10: formation enthalpy at 0 K 0.27 eV per atom. Number 11: formation enthalpy at 0 K 0.06 eV per atom. Number 12: formation enthalpy at 0 K 0.05 eV per atom. Number 13: formation enthalpy at 0 K 0.05 eV per atom. Number 14: formation enthalpy at 0 K 0.07 eV per atom. Number 15: formation enthalpy at 0 K 0.04 eV per atom. Number 16: formation enthalpy at 0 K 0.04 eV per atom. Number 17: formation enthalpy at 0 K 0.39 eV per atom. Number 18: formation enthalpy at 0 K 0.03 eV per atom. Number 19: formation enthalpy at 0 K 0.03 eV per atom.